# 1
BaTlAsBr2 | GGA-PBEsol | relaxed

Calculated values
Uncorrected formation energy   -0.67 eV/atom
DOS(E_F)   4.4 states/eV/cell
Final energy   -0.24921 Ry/atom

Cell and atoms, written as POSCAR:
```
BaTlAsBr2
1.0
5.677 0.000 0.000
0.000 5.677 0.000
0.000 0.000 5.296
Ba Tl As Br
1 1 1 2
Direct
0.000 0.000 0.000 Ba
0.500 0.500 0.500 Tl
0.500 0.500 0.000 As
0.000 0.500 0.500 Br
0.500 0.000 0.500 Br
```

# 2
BaAsCO2 | GGA-PBEsol | relaxed

Calculated values
Uncorrected formation energy   1.14 eV/atom
DOS(E_F)   2.9 states/eV/cell
Final energy   -0.31921 Ry/atom

Cell and atoms, written as POSCAR:
```
BaAsCO2
1.0
4.142 0.000 0.000
0.000 4.142 0.000
0.000 0.000 4.663
Ba As C O
1 1 1 2
Direct
0.000 0.000 0.000 Ba
0.500 0.500 0.000 As
0.000 0.000 0.500 C
0.000 0.500 0.500 O
0.500 0.000 0.500 O
```

# 3
BaAs2CSe | GGA-PBEsol | relaxed

Calculated values
Uncorrected formation energy   2.47 eV/atom
DOS(E_F)   13.2 states/eV/cell
Final energy   -0.19852 Ry/atom

Cell and atoms, written as POSCAR:
```
BaAs2CSe
1.0
6.385 0.000 0.000
0.000 6.385 0.000
0.000 0.000 6.099
Ba As C Se
1 2 1 1
Direct
0.000 0.000 0.000 Ba
0.000 0.500 0.000 As
0.500 0.000 0.000 As
0.500 0.500 0.500 C
0.000 0.000 0.500 Se
```

# 4
BaCaAs4 | GGA-PBEsol | relaxed

Calculated values
DOS(E_F)   2.8 states/eV/cell
Energy of formation from the pure elements   -0.52 eV per atom
Final energy   -0.34108 Ry/atom

Cell and atoms, written as POSCAR:
```
BaCaAs4
1.0
0.000 4.120 4.120
4.120 0.000 4.120
4.120 4.120 0.000
Ba Ca As
1 1 4
Direct
0.000 0.000 0.000 Ba
0.750 0.750 0.750 Ca
0.377 0.377 0.377 As
0.377 0.377 0.868 As
0.377 0.868 0.377 As
0.868 0.377 0.377 As
```

# 5
BaCaAs2 | GGA-PBEsol | relaxed

Calculated values
DOS(E_F)   2.0 states/eV/cell
Energy of formation from the pure elements   -0.93 eV per atom
Final energy   -0.33499 Ry/atom

Cell and atoms, written as POSCAR:
```
BaCaAs2
1.0
3.948 0.000 0.000
0.000 3.948 0.000
0.000 0.000 6.728
Ba Ca As
1 1 2
Direct
0.000 0.000 0.000 Ba
0.000 0.000 0.500 Ca
0.500 0.500 0.305 As
0.500 0.500 0.695 As
```

# 6
Ba2CaMnAs | GGA-PBEsol | relaxed

Calculated values
DOS(E_F)   5.0 states/eV/cell
Energy of formation from the pure elements   0.89 eV per atom
Final energy   -0.24763 Ry/atom

Cell and atoms, written as POSCAR:
```
Ba2CaMnAs
1.0
6.093 0.000 0.000
0.000 6.093 0.000
0.000 0.000 4.705
Ba Ca Mn As
2 1 1 1
Direct
0.000 0.500 0.000 Ba
0.500 0.000 0.000 Ba
0.000 0.000 0.000 Ca
0.000 0.000 0.500 Mn
0.500 0.500 0.500 As
```